# Li2CdAg2Hg2, optimized geometry, DFT PBE
data_Li2CdAg2Hg2
_chemical_formula_sum 'Li6 Cd3 Ag6 Hg6'
_space_group_name_H-M_alt 'R -3 m'
_space_group_IT_number 166
_space_group_name_Hall '-R 3 2"'
_cell_length_a 4.7618
_cell_length_b 4.7618
_cell_length_c 20.6438
_cell_angle_alpha 90.00
_cell_angle_beta 90.00
_cell_angle_gamma 120.00
loop_
_atom_site_label
_atom_site_type_symbol
_atom_site_fract_x
_atom_site_fract_y
_atom_site_fract_z
_atom_site_occupancy
Li1 Li 0.0000 0.0000 0.1390 1
Cd1 Cd 0.0000 0.0000 0.0000 1
Ag1 Ag 0.0000 0.0000 0.4321 1
Hg1 Hg 0.0000 0.0000 0.2715 1
# Magnetic moment, μB/atom: 0.00
# DFT formation energy, eV per atom: -0.1476
# Uncorrected energy, eV for the cell shown: -36.2